Entry 1:
VASP calculation (PBE-GGA) on a geometry-optimized Ca2YNi structure.

## Properties
SG = R-3m
density of states at the Fermi level = 2.7 states/eV/f.u.
distance to the lowest polymorph of the same formula = 254 meV/atom
DFT formation energy = 0.15 eV per atom

Cell: 10.263 10.263 10.263 Å, 20.85 20.85 20.85°
Each line ends with the local moment (μB).
Element x y z (fractional)
Ni (0.250, 0.250, 0.250)  0.02
Y (0.750, 0.750, 0.750)  0.27
Ca (0.525, 0.525, 0.525)  0.01
Ca (0.975, 0.975, 0.975)  0.01

***

Entry 2:
VASP calculation (PBE-GGA) on a geometry-optimized Sc5Ga2Co2Pt structure.

## Properties
SG = P4/mbm
density of states at the Fermi level = 5.4 states/eV/f.u.
DFT formation energy = -0.53 eV per atom

Cell: 3.260 10.616 10.616 Å, 90.00 90.00 90.00°
Element x y z (fractional)
Sc (0.500, 0.000, 0.500)
Sc (0.500, 0.300, 0.578)
Co (0.000, 0.636, 0.864)
Pt (0.000, 0.500, 0.500)
Co (0.000, 0.364, 0.136)
Co (0.000, 0.136, 0.636)
Sc (0.500, 0.700, 0.422)
Ga (0.000, 0.328, 0.828)
Ga (0.000, 0.172, 0.328)
Sc (0.500, 0.578, 0.700)
Co (0.000, 0.864, 0.364)
Sc (0.500, 0.078, 0.800)
Sc (0.500, 0.200, 0.078)
Ga (0.000, 0.828, 0.672)
Sc (0.500, 0.800, 0.922)
Pt (0.000, 0.000, 0.000)
Sc (0.500, 0.422, 0.300)
Ga (0.000, 0.672, 0.172)
Sc (0.500, 0.500, 0.000)
Sc (0.500, 0.922, 0.200)

***

Repeat the first record exactly.
VASP calculation (PBE-GGA) on a geometry-optimized Ca2YNi structure.

## Properties
SG = R-3m
density of states at the Fermi level = 2.7 states/eV/f.u.
distance to the lowest polymorph of the same formula = 254 meV/atom
DFT formation energy = 0.15 eV per atom

Cell: 10.263 10.263 10.263 Å, 20.85 20.85 20.85°
Each line ends with the local moment (μB).
Element x y z (fractional)
Ni (0.250, 0.250, 0.250)  0.02
Y (0.750, 0.750, 0.750)  0.27
Ca (0.525, 0.525, 0.525)  0.01
Ca (0.975, 0.975, 0.975)  0.01